Record 1
Material: Cs2NaLiHg6
Method: DFT, PBE
State: optimized geometry

Output
energy of formation from the pure elements: -178 meV/atom
DFT total energy: -0.85 eV/atom
DOS at the Fermi energy: 0.676 states/eV per atom

Geometry as CIF:
```
data_Cs2NaLiHg6
_symmetry_space_group_name_H-M 'C 1 2/m 1'
_symmetry_Int_Tables_number 12
_cell_length_a 11.396
_cell_length_b 11.403
_cell_length_c 8.021
_cell_angle_alpha 90.00
_cell_angle_beta 134.59
_cell_angle_gamma 90.00
loop_
_symmetry_equiv_pos_as_xyz
'x,y,z'
'-x,-y,-z'
'-x,y,-z'
'x,-y,z'
'x+1/2,y+1/2,z'
'-x+1/2,-y+1/2,-z'
'-x+1/2,y+1/2,-z'
'x+1/2,-y+1/2,z'
loop_
_atom_site_label
_atom_site_fract_x
_atom_site_fract_y
_atom_site_fract_z
Cs1 0.000 0.250 0.000
Na1 0.000 0.000 0.500
Li1 0.000 0.500 0.500
Hg1 0.000 0.265 0.500
Hg2 0.235 0.500 0.501
Hg3 0.235 0.500 0.969
```



Record 2
Material: RbTiGa
Method: DFT, PBE
State: optimized geometry

Output
energy of formation from the pure elements: 261 meV/atom
relative energy among the computed polymorphs: 257 meV per atom
DFT total energy: -3.70 eV/atom
DOS at the Fermi energy: 0.721 states/eV per atom

Geometry as CIF:
```
data_RbTiGa
_symmetry_space_group_name_H-M 'P 1'
_symmetry_Int_Tables_number 1
_cell_length_a 3.497
_cell_length_b 3.497
_cell_length_c 14.709
_cell_angle_alpha 88.10
_cell_angle_beta 87.40
_cell_angle_gamma 88.38
loop_
_symmetry_equiv_pos_as_xyz
'x,y,z'
loop_
_atom_site_label
_atom_site_fract_x
_atom_site_fract_y
_atom_site_fract_z
Rb1 0.000 0.000 0.000
Rb2 0.457 0.495 0.684
Ti1 0.514 0.537 0.374
Ti2 0.997 0.024 0.468
Ga1 0.027 0.044 0.285
Ga2 0.476 0.485 0.178
```



Record 3
Material: CuNiGe
Method: DFT, PBE
State: optimized geometry

Output
energy of formation from the pure elements: -16 meV/atom
DFT total energy: -4.85 eV/atom
DOS at the Fermi energy: 0.528 states/eV per atom

Geometry as CIF:
```
data_CuNiGe
_symmetry_space_group_name_H-M 'R -3 m'
_symmetry_Int_Tables_number 166
_symmetry_space_group_name_Hall '-R 3 2"'
_cell_length_a 3.9802
_cell_length_b 3.9802
_cell_length_c 17.8717
_cell_angle_alpha 90.00
_cell_angle_beta 90.00
_cell_angle_gamma 120.00
loop_
_atom_site_label
_atom_site_fract_x
_atom_site_fract_y
_atom_site_fract_z
Cu1 0.0000 0.0000 0.2137
Ni1 0.0000 0.0000 0.3640
Ge1 0.0000 0.0000 0.0743
```



Record 4
Material: Sr2NiSnTe
Method: DFT, PBE
State: optimized geometry

Output
DFT total energy: -3.91 eV/atom
ΔE_f (raw): -0.650 eV per atom
DOS at the Fermi energy: 0.557 states/eV per atom

Geometry as CIF:
```
data_Sr2NiSnTe
_symmetry_space_group_name_H-M 'P 4/m m m'
_symmetry_Int_Tables_number 123
_symmetry_space_group_name_Hall '-P 4 2'
_cell_length_a 5.831
_cell_length_b 5.831
_cell_length_c 4.714
_cell_angle_alpha 90.00
_cell_angle_beta 90.00
_cell_angle_gamma 90.00
loop_
_atom_site_label
_atom_site_fract_x
_atom_site_fract_y
_atom_site_fract_z
Sr1 0.000 0.500 0.000
Ni1 0.000 0.000 0.000
Sn1 0.000 0.000 0.500
Te1 0.500 0.500 0.500
```



Record 5
Material: CsNa2AgGe
Method: DFT, PBE
State: optimized geometry

Output
energy of formation from the pure elements: 54 meV/atom
relative energy among the computed polymorphs: 74 meV per atom
DFT total energy: -2.14 eV/atom
DOS at the Fermi energy: 0.412 states/eV per atom

Geometry as CIF:
```
data_CsNa2AgGe
_symmetry_space_group_name_H-M 'P 4/m m m'
_symmetry_Int_Tables_number 123
_symmetry_space_group_name_Hall '-P 4 2'
_cell_length_a 5.860
_cell_length_b 5.860
_cell_length_c 4.959
_cell_angle_alpha 90.00
_cell_angle_beta 90.00
_cell_angle_gamma 90.00
loop_
_atom_site_label
_atom_site_fract_x
_atom_site_fract_y
_atom_site_fract_z
Cs1 0.000 0.000 0.000
Na1 0.000 0.500 0.500
Ag1 0.500 0.500 0.500
Ge1 0.500 0.500 0.000
```



Record 6
Material: MgCdBi2
Method: DFT, PBE
State: optimized geometry

Output
energy of formation from the pure elements: 52 meV/atom
relative energy among the computed polymorphs: 61 meV per atom
DFT total energy: -2.52 eV/atom
DOS at the Fermi energy: 0.789 states/eV per atom

Geometry as CIF:
```
data_MgCdBi2
_symmetry_space_group_name_H-M 'F m -3 m'
_symmetry_Int_Tables_number 225
_symmetry_space_group_name_Hall '-F 4 2 3'
_cell_length_a 7.605
_cell_length_b 7.605
_cell_length_c 7.605
_cell_angle_alpha 90.00
_cell_angle_beta 90.00
_cell_angle_gamma 90.00
loop_
_atom_site_label
_atom_site_fract_x
_atom_site_fract_y
_atom_site_fract_z
Mg1 0.000 0.000 0.000
Cd1 0.000 0.000 0.500
Bi1 0.250 0.250 0.250
```



Record 7
Material: La2Pm2Pr2Nd
Method: DFT, PBE
State: optimized geometry

Output
energy of formation from the pure elements: 17 meV/atom
DFT total energy: -4.79 eV/atom
DOS at the Fermi energy: 1.909 states/eV per atom

Geometry as CIF:
```
data_La2Pm2Pr2Nd
_symmetry_space_group_name_H-M 'C 1 2/m 1'
_symmetry_Int_Tables_number 12
_cell_length_a 11.709
_cell_length_b 5.234
_cell_length_c 8.286
_cell_angle_alpha 90.00
_cell_angle_beta 98.07
_cell_angle_gamma 90.00
loop_
_symmetry_equiv_pos_as_xyz
'x,y,z'
'-x,-y,-z'
'-x,y,-z'
'x,-y,z'
'x+1/2,y+1/2,z'
'-x+1/2,-y+1/2,-z'
'-x+1/2,y+1/2,-z'
'x+1/2,-y+1/2,z'
loop_
_atom_site_label
_atom_site_fract_x
_atom_site_fract_y
_atom_site_fract_z
La1 0.142 0.000 0.427
Pm1 0.071 0.500 0.715
Pr1 0.215 0.500 0.142
Nd1 0.000 0.000 0.000
```



Record 8
Material: K2BeHO2
Method: DFT, PBE
State: optimized geometry

Output
DFT total energy: -4.43 eV/atom
DOS at the Fermi energy: 0.321 states/eV per atom

Geometry as CIF:
```
data_K2BeHO2
_symmetry_space_group_name_H-M 'I b a m'
_symmetry_Int_Tables_number 72
_symmetry_space_group_name_Hall '-I 2 2c'
_cell_length_a 8.703
_cell_length_b 10.208
_cell_length_c 4.324
_cell_angle_alpha 90.00
_cell_angle_beta 90.00
_cell_angle_gamma 90.00
loop_
_atom_site_label
_atom_site_fract_x
_atom_site_fract_y
_atom_site_fract_z
K1 0.220 0.139 0.000
Be1 0.000 0.500 0.250
H1 0.000 0.000 0.250
O1 0.103 0.414 0.000
```